Record 1
{"formula": "BeNiRhO4", "functional": "PBE with a Hubbard U", "state": "relaxed", "final_energy_ev_per_atom": -6.0640, "dos_at_fermi_per_ev_cell": 6.9, "sg": "No. 74", "lattice": [[-2.825, 2.844, 4.102], [2.825, -2.844, 4.102], [2.825, 2.844, -4.102]], "species": ["Be", "Be", "Ni", "Ni", "Rh", "Rh", "O", "O", "O", "O", "O", "O", "O", "O"], "fractional_positions": [[0.360, 0.110, 0.250], [0.640, 0.890, 0.750], [0.000, 0.500, 0.500], [0.500, 0.500, 0.000], [0.000, 0.000, 0.500], [0.000, 0.500, 0.000], [0.247, 0.241, 0.495], [0.247, 0.752, 0.005], [0.254, 0.243, 0.011], [0.268, 0.757, 0.511], [0.732, 0.243, 0.489], [0.746, 0.757, 0.989], [0.753, 0.248, 0.995], [0.753, 0.759, 0.505]]}

Record 2
{"formula": "BeNiRh2O6", "functional": "PBE with a Hubbard U", "state": "relaxed", "final_energy_ev_per_atom": -5.5769, "dos_at_fermi_per_ev_cell": 4.4, "sg": "No. 99", "lattice": [[4.958, 0.000, 0.000], [0.000, 4.958, 0.000], [0.000, 0.000, 4.493]], "species": ["Be", "Ni", "Rh", "Rh", "O", "O", "O", "O", "O", "O"], "fractional_positions": [[0.000, 0.000, 0.000], [0.500, 0.500, 0.989], [0.000, 0.500, 0.369], [0.500, 0.000, 0.369], [0.000, 0.000, 0.649], [0.235, 0.235, 0.147], [0.235, 0.765, 0.147], [0.500, 0.500, 0.570], [0.765, 0.235, 0.147], [0.765, 0.765, 0.147]]}

Record 3
{"formula": "Be2Ni2RhO6", "functional": "PBE with a Hubbard U", "state": "relaxed", "final_energy_ev_per_atom": -5.6548, "dos_at_fermi_per_ev_cell": 4.6, "sg": "No. 166", "lattice": [[2.593, 1.497, 5.258], [-2.593, 1.497, 5.258], [0.000, -2.995, 5.258]], "species": ["Be", "Be", "Ni", "Ni", "Rh", "O", "O", "O", "O", "O", "O"], "fractional_positions": [[0.088, 0.088, 0.088], [0.912, 0.912, 0.912], [0.327, 0.327, 0.327], [0.673, 0.673, 0.673], [0.500, 0.500, 0.500], [0.250, 0.250, 0.741], [0.250, 0.741, 0.250], [0.259, 0.750, 0.750], [0.741, 0.250, 0.250], [0.750, 0.259, 0.750], [0.750, 0.750, 0.259]]}